! Sc2PtPb (PBE, relaxed); values from VASP
&SYSTEM
  ibrav = 0, nat = 4, ntyp = 3
/
ATOMIC_SPECIES
Sc 44.96 Sc.upf
Pt 195.08 Pt.upf
Pb 207.20 Pb.upf
CELL_PARAMETERS angstrom
3.3337 0.0000 0.0000
0.0000 3.3718 0.0000
0.0000 0.0000 7.6187
ATOMIC_POSITIONS angstrom
Sc 0.0000 0.0000 1.5909
Sc 0.0000 0.0000 6.0278
Pt 1.6669 1.6859 0.0000
Pb 1.6669 1.6859 3.8094
! Formation energy from the elements   -0.7812 eV/atom
! Calculated volume   86 Å³/cell
! Space group   Pmmm (47)
! Total magnetic moment   0.00 μB per cell

---

! Rb5Ag2O (PBE, relaxed); values from VASP
&SYSTEM
  ibrav = 0, nat = 32, ntyp = 3
/
ATOMIC_SPECIES
Rb 85.47 Rb.upf
Ag 107.87 Ag.upf
O 16.00 O.upf
CELL_PARAMETERS angstrom
10.5252 0.0000 0.0000
0.0000 8.0852 0.0000
0.0000 0.0000 16.0963
ATOMIC_POSITIONS angstrom
Rb 0.0000 0.0000 0.0000
Rb 0.0000 4.0426 0.0000
Rb 0.4762 2.0213 3.2201
Rb 1.7442 4.0766 9.8080
Rb 1.7442 8.0512 9.8080
Rb 2.4093 6.0639 6.3758
Rb 2.8533 2.0213 14.4239
Rb 3.5184 0.0340 1.7598
Rb 3.5184 4.0086 1.7598
Rb 4.7865 6.0639 11.2683
Rb 5.2626 0.0000 8.0482
Rb 5.2626 4.0426 8.0482
Rb 5.7388 2.0213 4.8280
Rb 7.0068 4.0766 14.3365
Rb 7.0068 8.0512 14.3365
Rb 7.6719 6.0639 1.6724
Rb 8.1159 2.0213 9.7205
Rb 8.7810 0.0340 6.2883
Rb 8.7810 4.0086 6.2883
Rb 10.0491 6.0639 12.8762
Ag 0.4338 6.0639 3.2885
Ag 2.0742 2.0213 6.5986
Ag 3.1884 6.0639 14.6468
Ag 4.8289 2.0213 11.3367
Ag 5.6964 6.0639 4.7596
Ag 7.3368 2.0213 1.4495
Ag 8.4510 6.0639 9.4977
Ag 10.0915 2.0213 12.8078
O 1.9001 2.0213 0.9372
O 3.3625 6.0639 8.9854
O 7.1627 2.0213 7.1109
O 8.6252 6.0639 15.1591
! Calculated volume   1370 Å³/cell
! Space group   Pnma (62)
! Total magnetic moment   0.00 μB per cell
! Energy relative to the elements, uncorrected   -0.319 eV/atom

---

! YZrVSn2 (PBE, relaxed); values from VASP
&SYSTEM
  ibrav = 0, nat = 5, ntyp = 4
/
ATOMIC_SPECIES
Y 88.91 Y.upf
Zr 91.22 Zr.upf
V 50.94 V.upf
Sn 118.71 Sn.upf
CELL_PARAMETERS angstrom
5.1134 0.0000 0.0000
0.0000 5.1134 0.0000
0.0000 0.0000 4.8677
ATOMIC_POSITIONS angstrom
Y 0.0000 0.0000 0.0000
Zr 2.5567 2.5567 0.0000
V 0.0000 0.0000 2.4339
Sn 0.0000 2.5567 2.4339
Sn 2.5567 0.0000 2.4339
! Formation energy from the elements   0.4412 eV/atom
! Calculated volume   127 Å³/cell
! Space group   P4/mmm (123)
! Total magnetic moment   0.00 μB per cell

---

! ScBeAl2 (PBE, relaxed); values from VASP
&SYSTEM
  ibrav = 0, nat = 4, ntyp = 3
/
ATOMIC_SPECIES
Sc 44.96 Sc.upf
Be 9.01 Be.upf
Al 26.98 Al.upf
CELL_PARAMETERS angstrom
3.0780 0.0000 0.0000
0.0000 4.2718 0.0000
-0.0469 0.0000 5.2017
ATOMIC_POSITIONS angstrom
Sc 0.0000 0.0000 0.0000
Be 1.4927 2.1359 3.9833
Al 1.4990 0.0000 2.7219
Al 1.5445 2.1359 1.2375
! Formation energy from the elements   -0.0804 eV/atom
! Calculated volume   68 Å³/cell
! Space group   Pm (6)
! Total magnetic moment   0.00 μB per cell

---

! BeCuSeBr2 (PBE, relaxed); values from VASP
&SYSTEM
  ibrav = 0, nat = 5, ntyp = 4
/
ATOMIC_SPECIES
Be 9.01 Be.upf
Cu 63.55 Cu.upf
Se 78.96 Se.upf
Br 79.90 Br.upf
CELL_PARAMETERS angstrom
4.8831 0.0000 0.0000
0.0000 4.8831 0.0000
0.0000 0.0000 4.5664
ATOMIC_POSITIONS angstrom
Be 0.0000 0.0000 0.0000
Cu 2.4415 2.4415 2.2832
Se 0.0000 0.0000 2.2832
Br 0.0000 2.4415 0.0000
Br 2.4415 0.0000 0.0000
! Calculated volume   109 Å³/cell
! Space group   P4/mmm (123)
! Total magnetic moment   0.00 μB per cell
! Energy relative to the elements, uncorrected   0.274 eV/atom

---

! Cs3Li2ScI8 (PBE, relaxed); values from VASP
&SYSTEM
  ibrav = 0, nat = 14, ntyp = 4
/
ATOMIC_SPECIES
Cs 132.91 Cs.upf
Li 6.94 Li.upf
Sc 44.96 Sc.upf
I 126.90 I.upf
CELL_PARAMETERS angstrom
8.3802 0.0000 0.0000
-4.1901 7.2575 0.0000
0.0000 0.0000 10.8064
ATOMIC_POSITIONS angstrom
Cs 0.0000 0.0000 0.0000
Cs 0.0000 4.8383 6.9035
Cs 4.1901 2.4192 3.9029
Li 0.0000 4.8383 2.3384
Li 4.1901 2.4192 8.4680
Sc 0.0000 0.0000 5.4032
I 0.0000 2.3277 3.6703
I -2.1743 6.0937 3.6703
I 2.0159 1.1638 7.1362
I 0.0000 4.8383 10.5624
I 4.1901 2.4192 0.2440
I 2.1743 6.0937 3.6703
I 6.3644 1.1638 7.1362
I 4.1901 4.9298 7.1362
! Calculated volume   657 Å³/cell
! Space group   P-3m1 (164)
! Total magnetic moment   0.00 μB per cell
! Energy relative to the elements, uncorrected   -1.324 eV/atom